# 1
Below is an optimized crystal structure of ErTh5, with properties calculated at the PBE-GGA level.

abc: 5.0195 15.2613 4.9985
angles: 90.00 90.00 90.00
Element x y z (fractional)
Er (0.0000, 0.0000, 0.0000)
Er (0.5000, 0.5000, 0.0000)
Th (0.0000, 0.1651, 0.5000)
Th (0.0000, 0.3322, 0.0000)
Th (0.0000, 0.5000, 0.5000)
Th (0.0000, 0.6678, 0.0000)
Th (0.0000, 0.8349, 0.5000)
Th (0.5000, 0.0000, 0.5000)
Th (0.5000, 0.1678, 0.0000)
Th (0.5000, 0.3349, 0.5000)
Th (0.5000, 0.6651, 0.5000)
Th (0.5000, 0.8322, 0.0000)

- N(E_F): 1.509 states/eV per atom

=====

# 2
Below is an optimized crystal structure of Er2Th3, with properties calculated at the PBE-GGA level.

abc: 15.6209 6.1062 16.5877
angles: 70.26 21.59 88.15
Element x y z (fractional)
Er (0.0267, 0.4733, 0.0700)
Er (0.1800, 0.8200, 0.2233)
Er (0.4733, 0.0267, 0.4300)
Er (0.8200, 0.1800, 0.7767)
Th (0.0156, 0.7473, 0.6815)
Th (0.1709, 0.1709, 0.8291)
Th (0.4209, 0.4209, 0.0791)
Th (0.5685, 0.6944, 0.2344)
Th (0.6944, 0.5685, 0.5027)
Th (0.7473, 0.0156, 0.5556)

- N(E_F): 1.704 states/eV per atom

=====

# 3
Below is an optimized crystal structure of ErTh3, with properties calculated at the PBE-GGA level.

abc: 9.6876 9.6876 9.6876
angles: 43.17 43.17 43.17
Element x y z (fractional)
Er (0.0000, 0.0000, 0.0000)
Er (0.2230, 0.2230, 0.2230)
Er (0.7770, 0.7770, 0.7770)
Th (0.0000, 0.5000, 0.5000)
Th (0.2175, 0.7247, 0.7247)
Th (0.2753, 0.2753, 0.7825)
Th (0.2753, 0.7825, 0.2753)
Th (0.5000, 0.0000, 0.5000)
Th (0.5000, 0.5000, 0.0000)
Th (0.7247, 0.2175, 0.7247)
Th (0.7247, 0.7247, 0.2175)
Th (0.7825, 0.2753, 0.2753)

- N(E_F): 1.714 states/eV per atom

=====

# 4
Below is an optimized crystal structure of Er3Th, with properties calculated at the PBE-GGA level.

abc: 4.9840 4.9840 4.9840
angles: 90.00 90.00 90.00
Element x y z (fractional)
Er (0.0000, 0.0000, 0.5000)
Er (0.0000, 0.5000, 0.0000)
Er (0.5000, 0.0000, 0.0000)
Th (0.5000, 0.5000, 0.5000)

- N(E_F): 1.632 states/eV per atom

=====

| no. | calculated formation energy (eV/atom) |
| --- | --- |
| 1 | 0.03 |
| 2 | 0.11 |
| 3 | 0.07 |
| 4 | 0.04 |